Below is crystalline AcSm7Y2 at its relaxed geometry, with properties calculated at the GGA-PBE level.

extended XYZ file:
```
10
Lattice="4.426 -8.159 0.000 4.426 8.159 0.000 0.000 0.000 5.820" Properties=species:S:1:pos:R:3 pbc="T T T"
Ac 0.000 0.000 0.000
Sm 1.577 1.897 2.910
Sm 4.426 4.433 0.000
Sm 1.577 -1.897 2.910
Sm 4.426 0.000 2.910
Sm 7.276 1.897 2.910
Sm 4.426 -4.433 0.000
Sm 7.276 -1.897 2.910
Y 4.426 3.337 2.910
Y 4.426 -3.337 2.910
```

Polymorph energy (0 for the lowest one) (meV per atom): 569
E_tot (eV/f.u.): -43.57
Space group: No. 65